# 1
{
  "formula": "Dy2CoSn",
  "functional": "PBE",
  "state": "relaxed",
  "magnetic_moment_mub_per_fu": 0.00,
  "e_form_ev_per_atom": -0.016,
  "cell": [[1.849, 1.067, 9.443], [-1.849, 1.067, 9.443], [0.000, -2.135, 9.443]],
  "species": ["Dy", "Dy", "Co", "Sn"],
  "fractional_positions": [[0.113, 0.113, 0.113], [0.887, 0.887, 0.887], [0.500, 0.500, 0.500], [0.000, 0.000, 0.000]]
}

=====

# 2
{
  "formula": "Dy3Co2Sn4",
  "functional": "PBE",
  "state": "relaxed",
  "magnetic_moment_mub_per_fu": 0.00,
  "e_form_ev_per_atom": -0.526,
  "cell": [[5.608, -2.223, 0.000], [5.608, 2.223, 0.000], [-2.345, 0.000, 8.158]],
  "species": ["Dy", "Dy", "Dy", "Co", "Co", "Sn", "Sn", "Sn", "Sn"],
  "fractional_positions": [[0.000, 0.000, 0.000], [0.370, 0.370, 0.315], [0.630, 0.630, 0.685], [0.301, 0.301, 0.612], [0.699, 0.699, 0.388], [0.090, 0.090, 0.390], [0.297, 0.297, 0.914], [0.703, 0.703, 0.086], [0.910, 0.910, 0.610]]
}

=====

# 3
{
  "formula": "DyCo3Sn6",
  "functional": "PBE",
  "state": "relaxed",
  "magnetic_moment_mub_per_fu": 0.71,
  "e_form_ev_per_atom": -0.144,
  "cell": [[6.486, 0.000, 0.000], [0.737, 6.445, 0.000], [3.203, 2.858, 4.958]],
  "species": ["Dy", "Co", "Co", "Co", "Sn", "Sn", "Sn", "Sn", "Sn", "Sn"],
  "fractional_positions": [[0.000, 0.000, 0.000], [0.126, 0.536, 0.723], [0.302, 0.301, 0.434], [0.537, 0.125, 0.723], [0.338, 0.336, 0.008], [0.415, 0.760, 0.175], [0.451, 0.877, 0.556], [0.761, 0.415, 0.175], [0.878, 0.451, 0.555], [0.951, 0.950, 0.563]]
}

=====

# 4
{
  "formula": "Dy4CoSn",
  "functional": "PBE",
  "state": "relaxed",
  "magnetic_moment_mub_per_fu": 0.00,
  "e_form_ev_per_atom": -0.208,
  "cell": [[3.405, -3.405, 0.000], [3.405, 3.405, 0.000], [-0.015, 0.000, 7.354]],
  "species": ["Dy", "Dy", "Dy", "Dy", "Co", "Sn"],
  "fractional_positions": [[0.001, 0.500, 0.781], [0.500, 0.001, 0.781], [0.500, 0.999, 0.219], [0.999, 0.500, 0.219], [0.000, 0.000, 0.000], [0.500, 0.500, 0.500]]
}

=====

# 5
{
  "formula": "Dy3Co2Sn3",
  "functional": "PBE",
  "state": "relaxed",
  "magnetic_moment_mub_per_fu": 0.00,
  "e_form_ev_per_atom": -0.556,
  "cell": [[2.216, -5.380, 0.000], [2.216, 5.380, 0.000], [0.000, 0.000, 14.827]],
  "species": ["Dy", "Dy", "Dy", "Dy", "Dy", "Dy", "Co", "Co", "Co", "Co", "Sn", "Sn", "Sn", "Sn", "Sn", "Sn"],
  "fractional_positions": [[0.072, 0.928, 0.611], [0.072, 0.928, 0.889], [0.352, 0.648, 0.750], [0.648, 0.352, 0.250], [0.928, 0.072, 0.111], [0.928, 0.072, 0.389], [0.204, 0.796, 0.108], [0.204, 0.796, 0.392], [0.796, 0.204, 0.608], [0.796, 0.204, 0.892], [0.349, 0.651, 0.250], [0.361, 0.639, 0.536], [0.361, 0.639, 0.964], [0.639, 0.361, 0.036], [0.639, 0.361, 0.464], [0.651, 0.349, 0.750]]
}

=====

# 6
{
  "formula": "Dy3CoSn3",
  "functional": "PBE",
  "state": "relaxed",
  "magnetic_moment_mub_per_fu": 0.00,
  "e_form_ev_per_atom": -0.618,
  "cell": [[5.542, -2.212, 0.000], [5.542, 2.212, 0.000], [-4.965, 0.000, 13.984]],
  "species": ["Dy", "Dy", "Dy", "Dy", "Dy", "Dy", "Co", "Co", "Sn", "Sn", "Sn", "Sn", "Sn", "Sn"],
  "fractional_positions": [[0.020, 0.020, 0.383], [0.096, 0.096, 0.920], [0.241, 0.241, 0.241], [0.759, 0.759, 0.759], [0.904, 0.904, 0.080], [0.980, 0.980, 0.617], [0.255, 0.255, 0.612], [0.745, 0.745, 0.388], [0.346, 0.346, 0.462], [0.370, 0.370, 0.923], [0.470, 0.470, 0.760], [0.530, 0.530, 0.240], [0.630, 0.630, 0.077], [0.654, 0.654, 0.538]]
}

=====

# 7
{
  "formula": "DyCo2Sn2",
  "functional": "PBE",
  "state": "relaxed",
  "magnetic_moment_mub_per_fu": 0.71,
  "e_form_ev_per_atom": -0.290,
  "cell": [[4.496, 0.000, 0.000], [0.000, 4.247, 0.000], [-1.161, 0.000, 10.117]],
  "species": ["Dy", "Dy", "Co", "Co", "Co", "Co", "Sn", "Sn", "Sn", "Sn"],
  "fractional_positions": [[0.198, 0.250, 0.250], [0.802, 0.750, 0.750], [0.127, 0.750, 0.999], [0.292, 0.250, 0.636], [0.708, 0.750, 0.364], [0.873, 0.250, 0.001], [0.245, 0.750, 0.497], [0.337, 0.250, 0.880], [0.663, 0.750, 0.120], [0.755, 0.250, 0.503]]
}

=====

# 8
{
  "formula": "Dy8Co2Sn",
  "functional": "PBE",
  "state": "relaxed",
  "magnetic_moment_mub_per_fu": 0.00,
  "e_form_ev_per_atom": -0.182,
  "cell": [[4.309, -6.565, 0.000], [4.309, 6.565, 0.000], [-1.237, 0.000, 5.154]],
  "species": ["Dy", "Dy", "Dy", "Dy", "Dy", "Dy", "Dy", "Dy", "Co", "Co", "Sn"],
  "fractional_positions": [[0.110, 0.110, 0.800], [0.170, 0.430, 0.429], [0.249, 0.751, 0.000], [0.430, 0.170, 0.429], [0.570, 0.830, 0.571], [0.751, 0.249, 0.000], [0.830, 0.570, 0.571], [0.890, 0.890, 0.200], [0.194, 0.806, 0.500], [0.806, 0.194, 0.500], [0.500, 0.500, 0.000]]
}